PaAgHgF6 (PBE-GGA, relaxed); total moment = 0.00 Bohr magnetons per cell; SG = No. 163; formation energy from raw total energies = -2.686 eV/atom; electronic total energy = -5.34 eV per atom
1.0
6.7004 0.0000 0.0000
-3.3502 5.8027 0.0000
0.0000 0.0000 11.1051
Pa Ag Hg F
2 2 2 12
direct
0.3333 0.6667 0.2500
0.6667 0.3333 0.7500
0.3333 0.6667 0.7500
0.6667 0.3333 0.2500
0.0000 0.0000 0.0000
0.0000 0.0000 0.5000
0.0499 0.4279 0.1446
0.0499 0.6220 0.3554
0.3780 0.4279 0.3554
0.3780 0.9501 0.1446
0.4279 0.0499 0.6446
0.4279 0.3780 0.8554
0.5721 0.6220 0.1446
0.5721 0.9501 0.3554
0.6220 0.0499 0.8554
0.6220 0.5721 0.6446
0.9501 0.3780 0.6446
0.9501 0.5721 0.8554